# 1
Entry from Alexandria: a relaxed structure of LaHoTh2 (PBE-GGA).

The calculation puts the density at 9.6 g/cm3. The calculation puts the density of states at the Fermi level at 2.292 states/eV/atom. The offset from the most stable computed form is 0.1830 eV/atom.

The space group is Fm-3m (No. 225) and the conventional cell measures 8.086, 8.086 and 8.086 Å, with angles of 90.00, 90.00 and 90.00 degrees. The asymmetric unit holds La at (0.000, 0.000, 0.000), Ho at (0.000, 0.000, 0.500) and Th at (0.250, 0.250, 0.250).

=====

# 2
Entry from Alexandria: a relaxed structure of Tl3AgBi (PBE-GGA).

The calculation puts the density at 9.3 g/cm3. The calculation puts the density of states at the Fermi level at 0.736 states/eV/atom. The offset from the most stable computed form is 0.0000 eV/atom.

The space group is Pm-3m (No. 221) and the conventional cell measures 5.506, 5.506 and 5.506 Å, with angles of 90.00, 90.00 and 90.00 degrees. The asymmetric unit holds Tl at (0.000, 0.000, 0.500), Ag at (0.000, 0.000, 0.000) and Bi at (0.500, 0.500, 0.500).

=====

What are the energy of formation from the pure elements values for these records? In order: 0.210; 0.246 eV per atom.